A plane-wave DFT calculation with PBE was carried out for an optimized crystal structure of Ag2TeOsO6.

Results
formation energy (no corrections) = -510 meV/atom
DFT total energy = -54.93 eV per cell

a b c (Å): 5.565 5.565 4.965
angles (deg): 90.00 90.00 90.00
Space group P4mm (No. 99)
Symmetry-distinct sites (fractional):
Ag 0.000 0.500 0.000
Te 0.000 0.000 0.594
Os 0.500 0.500 0.547
O 0.000 0.000 0.217
O 0.269 0.269 0.677
O 0.500 0.500 0.197